[1]
6
Lattice="2.616 2.452 4.451 -4.876 -0.839 2.862 2.504 -4.538 -2.409" Properties=species:S:1:pos:R:3 comment="InAs2 PBE-GGA relaxed" magmom_total_mub_per_cell=0.00 space_group="I4/mcm, No. 140" pbc="T T T"
In -1.695 1.210 5.485
In -0.565 0.403 1.828
As -0.771 -3.815 0.603
As -1.185 -1.385 4.123
As 1.429 -1.540 0.781
As 1.015 0.890 4.301


[2]
4
Lattice="3.572 0.000 0.000 -1.786 3.094 0.000 0.000 0.000 9.228" Properties=species:S:1:pos:R:3 comment="InAs PBE-GGA relaxed" magmom_total_mub_per_cell=0.00 space_group="P-3m1, No. 164" pbc="T T T"
As 0.000 0.000 0.408
As 1.786 1.031 1.899
In 0.000 0.000 4.435
In 1.786 1.031 7.100


[3]
4
Lattice="-3.569 0.606 2.223 2.369 -3.459 0.686 3.314 3.153 4.460" Properties=species:S:1:pos:R:3 comment="InAs PBE-GGA relaxed" magmom_total_mub_per_cell=0.00 space_group="P6_3/mmc, No. 194" pbc="T T T"
In 0.895 1.615 5.056
In 1.218 -1.316 2.313
As 1.657 1.577 2.230
As 0.000 0.000 0.000


[4]
4
Lattice="9.021 -0.053 -0.031 8.298 3.538 -0.031 8.298 1.670 3.119" Properties=species:S:1:pos:R:3 comment="InAs PBE-GGA relaxed" magmom_total_mub_per_cell=0.00 space_group="R-3m, No. 166" pbc="T T T"
As 18.844 3.792 2.248
As 0.369 0.074 0.044
In 6.526 1.313 0.779
In 12.687 2.553 1.514


[5]
8
Lattice="4.522 0.000 0.000 0.000 5.359 0.000 0.000 0.000 7.957" Properties=species:S:1:pos:R:3 comment="InAs3 PBE-GGA relaxed" magmom_total_mub_per_cell=0.00 space_group="Pmmn, No. 59" pbc="T T T"
As 4.429 0.000 2.039
As 1.652 2.680 0.000
As 2.870 0.000 3.979
As 0.093 2.680 6.018
As 0.093 2.680 1.940
As 4.429 0.000 5.918
In 2.603 0.000 0.000
In 1.919 2.680 3.979


[6]
9
Lattice="-5.533 5.533 1.773 5.533 -5.533 1.773 5.533 5.533 -1.773" Properties=species:S:1:pos:R:3 comment="In4As5 PBE-GGA relaxed" magmom_total_mub_per_cell=0.00 space_group="I4/mmm, No. 139" pbc="T T T"
In 0.000 7.706 0.000
In 3.360 0.000 0.000
In 0.000 3.360 0.000
In 7.706 0.000 0.000
As 3.439 3.439 0.000
As 0.000 0.000 0.000
As -2.094 2.094 1.773
As 2.094 2.094 1.773
As 2.094 -2.094 1.773


Across the entries above, N(E_F) takes the values 0.5227, 0.4759, 0.4797, 0.4446, 0.1307, 0.3619 states/eV per atom, respectively.
Across the entries above, DFT total energy takes the values -3.894, -3.617, -3.660, -3.638, -4.202, -3.640 eV/atom, respectively.